[1]
A geometry-optimized NaCo2Ir2 structure, computed with PBE.

Unit cell a=7.5077 b=7.5077 c=2.6129 alpha=90.00 beta=90.00 gamma=90.00
Last column: magnetic moment on the atom in μB.
Fractional positions:
Ir 0.6278 0.1278 0.0000  0.42
Ir 0.1278 0.3722 0.0000  0.42
Ir 0.8722 0.6278 0.0000  0.42
Ir 0.3722 0.8722 0.0000  0.42
Na 0.0000 0.0000 0.0000  -0.01
Na 0.5000 0.5000 0.0000  -0.01
Co 0.8321 0.3321 0.5000  1.57
Co 0.1679 0.6679 0.5000  1.57
Co 0.6679 0.8321 0.5000  1.57
Co 0.3321 0.1679 0.5000  1.57

Results
Crystal system = tetragonal
E_tot = -0.2369 hartree per atom
Formation energy = 0.2040 eV/atom
M_tot = 0.789 μB/atom

[2]
A geometry-optimized NaCo2Ir2 structure, computed with PBE.

Unit cell a=7.4762 b=7.4762 c=2.6053 alpha=90.00 beta=90.00 gamma=90.00
Last column: magnetic moment on the atom in μB.
Fractional positions:
Ir 0.1686 0.6686 0.5000  0.47
Ir 0.3314 0.1686 0.5000  0.48
Ir 0.8314 0.3314 0.5000  0.47
Ir 0.6686 0.8314 0.5000  0.48
Co 0.3772 0.8772 0.0000  1.36
Co 0.8772 0.6228 0.0000  1.41
Co 0.6228 0.1228 0.0000  1.36
Co 0.1228 0.3772 0.0000  1.41
Na 0.0000 0.0000 0.0000  -0.01
Na 0.5000 0.5000 0.0000  -0.01

Results
Crystal system = tetragonal
E_tot = -0.2366 hartree per atom
Formation energy = 0.2111 eV/atom
M_tot = 0.745 μB/atom

[3]
A geometry-optimized NaCoIr2 structure, computed with PBE.

Unit cell a=4.3252 b=4.3252 c=4.3252 alpha=60.00 beta=60.00 gamma=60.00
Last column: magnetic moment on the atom in μB.
Fractional positions:
Co 0.5000 0.5000 0.5000  2.13
Ir 0.7500 0.7500 0.7500  0.72
Ir 0.2500 0.2500 0.2500  0.72
Na 0.0000 0.0000 0.0000  0.01

Results
Crystal system = cubic
E_tot = -0.2157 hartree per atom
Formation energy = 0.6683 eV/atom
M_tot = 0.892 μB/atom

[4]
A geometry-optimized NaCoIr2 structure, computed with PBE.

Unit cell a=7.3316 b=7.3316 c=5.7373 alpha=50.29 beta=50.29 gamma=90.00
Last column: magnetic moment on the atom in μB.
Fractional positions:
Co 0.7500 0.2500 0.5000  1.55
Co 0.0000 0.0000 0.0000  1.56
Ir 0.0661 0.6250 0.2500  0.32
Ir 0.6839 0.1250 0.2500  0.30
Ir 0.3750 0.3161 0.7500  0.35
Ir 0.8750 0.9339 0.7500  0.37
Na 0.5000 0.5000 0.0000  -0.01
Na 0.2500 0.7500 0.5000  -0.01

Results
Crystal system = tetragonal
E_tot = -0.2140 hartree per atom
Formation energy = 0.7125 eV/atom
M_tot = 0.568 μB/atom

[5]
A geometry-optimized NaCo2Ir structure, computed with PBE.

Unit cell a=4.2643 b=4.2643 c=4.2643 alpha=60.00 beta=60.00 gamma=60.00
Last column: magnetic moment on the atom in μB.
Fractional positions:
Na 0.0000 0.0000 0.0000  -0.01
Co 0.2500 0.2500 0.2500  1.72
Co 0.7500 0.7500 0.7500  1.72
Ir 0.5000 0.5000 0.5000  0.86

Results
Crystal system = cubic
E_tot = -0.2050 hartree per atom
Formation energy = 0.5199 eV/atom
M_tot = 1.051 μB/atom

[6]
A geometry-optimized Na3CoIr structure, computed with PBE.

Unit cell a=5.1541 b=5.1541 c=5.1541 alpha=90.00 beta=90.00 gamma=90.00
Last column: magnetic moment on the atom in μB.
Fractional positions:
Co 0.0000 0.0000 0.0000  1.82
Ir 0.5000 0.5000 0.5000  1.44
Na 0.0000 0.0000 0.5000  -0.02
Na 0.0000 0.5000 0.0000  -0.02
Na 0.5000 0.0000 0.0000  -0.02

Results
Crystal system = cubic
E_tot = -0.0912 hartree per atom
Formation energy = 1.5027 eV/atom
M_tot = 0.600 μB/atom

[7]
A geometry-optimized NaCo2Ir2 structure, computed with PBE.

Unit cell a=4.1593 b=4.1593 c=5.6722 alpha=68.49 beta=68.49 gamma=90.00
Last column: magnetic moment on the atom in μB.
Fractional positions:
Co 0.7500 0.2500 0.5000  1.66
Co 0.2500 0.7500 0.5000  1.66
Na 0.0000 0.0000 0.0000  -0.01
Ir 0.3746 0.3746 0.2507  0.51
Ir 0.6254 0.6254 0.7493  0.51

Results
Crystal system = tetragonal
E_tot = -0.2287 hartree per atom
Formation energy = 0.4262 eV/atom
M_tot = 0.877 μB/atom

[8]
A geometry-optimized Na3CoIr structure, computed with PBE.

Unit cell a=5.4443 b=5.4443 c=5.4443 alpha=90.00 beta=90.00 gamma=90.00
Last column: magnetic moment on the atom in μB.
Fractional positions:
Na 0.5000 0.0000 0.0000  -0.01
Na 0.0000 0.0000 0.5000  -0.01
Na 0.0000 0.5000 0.0000  -0.01
Ir 0.0000 0.0000 0.0000  0.83
Co 0.5000 0.5000 0.5000  2.24

Results
Crystal system = cubic
E_tot = -0.0950 hartree per atom
Formation energy = 1.3999 eV/atom
M_tot = 0.600 μB/atom

[9]
A geometry-optimized NaCo2Ir structure, computed with PBE.

Unit cell a=6.9917 b=6.9917 c=5.6249 alpha=51.57 beta=51.57 gamma=90.00
Last column: magnetic moment on the atom in μB.
Fractional positions:
Ir 0.7500 0.2500 0.5000  0.66
Ir 0.0000 0.0000 0.0000  0.66
Co 0.6726 0.1250 0.2500  1.68
Co 0.8750 0.9226 0.7500  1.70
Co 0.0774 0.6250 0.2500  1.66
Co 0.3750 0.3274 0.7500  1.73
Na 0.2500 0.7500 0.5000  -0.01
Na 0.5000 0.5000 0.0000  -0.01

Results
Crystal system = tetragonal
E_tot = -0.1936 hartree per atom
Formation energy = 0.8305 eV/atom
M_tot = 1.014 μB/atom